Record 1
A relaxed YThPd crystal, computed with PBE.

For the energy of formation, the calculation gives -286 meV/atom. The energy above the most stable polymorph in this dataset is 0.00 eV per formula unit. The value obtained for the size of the total moment is 0.0 μB/f.u.

The space group is F-43m (No. 216) and the conventional cell measures 7.010, 7.010 and 7.010 Å, with angles of 90.00, 90.00 and 90.00 degrees. The asymmetric unit holds Y at (0.000, 0.000, 0.000), Th at (0.000, 0.000, 0.500) and Pd at (0.250, 0.250, 0.750).

=====

Record 2
A relaxed YThPd6 crystal, computed with PBE.

For the energy of formation, the calculation gives -949 meV/atom. The value obtained for the size of the total moment is 0.0 μB/f.u.

The space group is P4/mmm (No. 123) and the conventional cell measures 4.166, 4.166 and 8.299 Å, with angles of 90.00, 90.00 and 90.00 degrees. The asymmetric unit holds Y at (0.000, 0.000, 0.000), Th at (0.000, 0.000, 0.500), Pd at (0.000, 0.500, 0.249), Pd at (0.500, 0.500, 0.000) and Pd at (0.500, 0.500, 0.500).

=====

Record 3
A relaxed ThZnPd crystal, computed with PBE.

For the energy of formation, the calculation gives -459 meV/atom. The value obtained for the size of the total moment is 0.1 μB/f.u.

The space group is F-43m (No. 216) and the conventional cell measures 6.633, 6.633 and 6.633 Å, with angles of 90.00, 90.00 and 90.00 degrees. The asymmetric unit holds Th at (0.000, 0.000, 0.000), Zn at (0.000, 0.000, 0.500) and Pd at (0.250, 0.250, 0.250).

=====

Record 4
A relaxed TlPd crystal, computed with PBE.

Its total energy is -3.50 eV/atom.

The space group is F-43m (No. 216) and the conventional cell measures 6.180, 6.180 and 6.180 Å, with angles of 90.00, 90.00 and 90.00 degrees. The asymmetric unit holds Tl at (0.000, 0.000, 0.000) and Pd at (0.250, 0.250, 0.250).

=====

Record 5
A relaxed Tl2Pd3 crystal, computed with PBE.

The energy above the most stable polymorph in this dataset is 0.58 eV per formula unit.

The space group is Fdd2 (No. 43) and the conventional cell measures 10.223, 14.066 and 5.142 Å, with angles of 90.00, 90.00 and 90.00 degrees. The asymmetric unit holds Tl at (0.052, 0.195, 0.000), Pd at (0.000, 0.000, 0.082) and Pd at (0.060, 0.101, 0.526).

=====

Record 6
A relaxed Tl2Pd3 crystal, computed with PBE.

The energy above the most stable polymorph in this dataset is 0.00 eV per formula unit.

The space group is P6_3/mmc (No. 194) and the conventional cell measures 5.7378, 5.7378 and 13.9498 Å, with angles of 90.00, 90.00 and 120.00 degrees. The asymmetric unit holds Tl at (0.0000, 0.0000, 0.2500), Tl at (0.3333, 0.6667, 0.0896), Tl at (0.3333, 0.6667, 0.7500) and Pd at (0.1656, 0.3313, 0.5861).